This record from Alexandria via LeMat-Bulk describes a relaxed structure of SrCaIr2. The functional is PBE-GGA.

spin magnetization	0.0	μB per cell
space-group type	Amm2
energy relative to the elements	-0.2902	eV per atom
D(E_F)	1.30	states/eV/cell
energy above the lowest structure with this stoichiometry	0	meV/atom

Cell: 4.5292 4.6629 5.5875 Å, 65.38 90.00 90.00°
With the nearest neighbours (Å) after each atom.
Atoms (fractional coordinates):
Ir (0.0000, 0.1686, 0.0377)  2 Ir 2.41
Sr (0.0000, 0.4764, 0.4226)  3 Ir 3.04-3.12
Ca (0.5000, 0.7667, 0.8414)  3 Ir 2.95-3.27
Ir (0.5000, 0.0883, 0.1984)  2 Ir 2.41